(1)
Computed, not measured: a relaxed CdSi2O4 crystal at the PBE level of DFT.

Computed properties:
Calculated volume: 11.30 A^3/atom
Crystal system: cubic
Final energy: -5.8114 eV/atom

a b c (Å): 8.5864 8.5864 8.5864
angles (deg): 90.00 90.00 90.00
Closest atoms and distances in Å follow each position.
Space group Fd-3m (No. 227, origin choice 2)
Unique sites:
Cd 0.1250 0.1250 0.1250 (multiplicity 8)  4 O 2.25
Si 0.0000 0.0000 0.5000 (multiplicity 16)  6 O 1.95
O 0.0260 0.0260 0.7240 (multiplicity 32)  3 Si 1.95

(2)
Computed, not measured: a relaxed Rb5AuSeO2 crystal at the PBE level of DFT.

Computed properties:
Calculated volume: 32.60 A^3/atom
Crystal system: tetragonal
Final energy: -3.4106 eV/atom

a b c (Å): 5.5786 5.5786 9.4272
angles (deg): 90.00 90.00 90.00
Closest atoms and distances in Å follow each position.
Space group P4/mmm (No. 123)
Unique sites:
Rb 0.0000 0.0000 0.0000 (multiplicity 1)  2 O 2.69
Rb 0.0000 0.5000 0.2535 (multiplicity 4)  2 O 2.81
Au 0.0000 0.0000 0.5000 (multiplicity 1)  2 O 2.02
Se 0.5000 0.5000 0.0000 (multiplicity 1)  12 Rb 3.67-3.94
O 0.0000 0.0000 0.2852 (multiplicity 2)  1 Au 2.02

(3)
Computed, not measured: a relaxed GdErMg crystal at the PBE level of DFT.

Computed properties:
Calculated volume: 28.75 A^3/atom
Total moment: 0.4 Bohr magnetons per cell
E above lowest polymorph: 0.000 eV/atom
Crystal system: orthorhombic
Final energy: -3.6478 eV/atom

a b c (Å): 3.6069 17.4324 5.4873
angles (deg): 90.00 90.00 90.00
Closest atoms and distances in Å follow each position.
Space group Cmcm (No. 63)
Unique sites:
Gd 0.0000 0.0975 0.2500 (multiplicity 4)  6 Mg 3.32-3.34, 4 Er 3.53-3.58, 2 Gd 3.61
Er 0.0000 0.2254 0.7500 (multiplicity 4)  2 Mg 3.36, 6 Er 3.39-3.61, 4 Gd 3.53-3.58
Mg 0.0000 0.4374 0.2500 (multiplicity 4)  6 Gd 3.32-3.34, 2 Er 3.36, 4 Mg 3.51-3.61

(4)
Computed, not measured: a relaxed PrTm2Mg3Al2Cd crystal at the PBE level of DFT.

Computed properties:
Calculated volume: 24.40 A^3/atom
Total moment: 0.0 Bohr magnetons per cell
Crystal system: orthorhombic
Final energy: -3.2704 eV/atom

a b c (Å): 4.5952 13.0319 7.3330
angles (deg): 90.00 90.00 90.00
Closest atoms and distances in Å follow each position.
Space group Amm2 (No. 38)
Unique sites:
Pr 0.0000 0.0000 0.0000 (multiplicity 2)  1 Cd 3.24, 4 Al 3.25, 6 Mg 3.31-3.59
Tm 0.0000 0.2155 0.6415 (multiplicity 4)  4 Al 3.16, 1 Cd 3.17, 2 Mg 3.35
Mg 0.5000 0.0000 0.6759 (multiplicity 2)  2 Cd 2.87, 2 Al 2.89, 2 Mg 3.13
Mg 0.5000 0.1221 0.3080 (multiplicity 4)  2 Al 2.83-2.87, 2 Cd 2.96, 1 Mg 3.13
Al 0.5000 0.1709 0.9259 (multiplicity 4)  3 Mg 2.83-2.89, 4 Tm 3.16
Cd 0.0000 0.0000 0.4420 (multiplicity 2)  6 Mg 2.87-2.96, 2 Tm 3.17